5
Lattice="4.830 0.000 0.000 0.000 4.830 0.000 0.000 0.000 4.289" Properties=species:S:1:pos:R:3 comment="Mg2FeSiPd | Alexandria | PBE-GGA | relaxed" space_group="P4/mmm (123)" crystal_system=tetragonal e_form_raw_ev_per_atom=0.412 dft_energy_ev_per_cell=-20.2 pbc="T T T"
Mg 0.000 2.415 0.000
Mg 2.415 0.000 0.000
Fe 0.000 0.000 2.144
Si 0.000 0.000 0.000
Pd 2.415 2.415 2.144